This record from Alexandria describes an optimized crystal structure of PaMn2Re. The functional is GGA-PBE.

## Properties
As for the crystal system: trigonal. The value obtained for the volume is 15.583 A^3/atom. Its symmetry is R-3m. Its energy above the most stable polymorph in this dataset is 0.165 eV/atom. For the density of states at the Fermi level, the calculation gives 5.08 states/eV/f.u. As for the formation energy: 0.195 eV/atom. As for the magnetic moment: 3.1 μB/cell. The total DFT energy (no corrections) is -9.88 eV/atom.

POSCAR file:
```
PaMn2Re
1.0
-1.7688 4.0533 0.7386
-4.3759 0.4085 0.8877
-1.3704 1.1456 4.0409
Mn Re Pa
2 1 1
Cartesian
-5.6488 4.2118 4.1863 Mn
-1.8664 1.3956 1.4810 Mn
0.0000 0.0000 0.0000 Re
-3.7576 2.8037 2.8336 Pa
```

***

This record from Alexandria describes an optimized crystal structure of Zr2AsRu. The functional is GGA-PBE.

## Properties
As for the crystal system: orthorhombic. The value obtained for the volume is 18.202 A^3/atom. Its symmetry is Cmmm. For the density of states at the Fermi level, the calculation gives 3.78 states/eV/f.u. As for the formation energy: -0.584 eV/atom. As for the magnetic moment: 0.0 μB/cell. The total DFT energy (no corrections) is -8.34 eV/atom.

POSCAR file:
```
Zr2AsRu
1.0
6.7828 0.0009 0.0022
-2.5543 3.9544 -0.0194
1.6741 1.0914 2.7097
Ru Zr As
1 2 1
Cartesian
2.1142 1.9776 -0.0086 Ru
0.0000 0.0000 0.0000 Zr
4.2285 0.5461 1.3559 Zr
-0.4401 2.5229 1.3452 As
```

***

This record from Alexandria describes an optimized crystal structure of NdZrAs2Rh5. The functional is GGA-PBE.

## Properties
As for the crystal system: tetragonal. The value obtained for the volume is 20.191 A^3/atom. Its symmetry is P4/mmm. For the density of states at the Fermi level, the calculation gives 3.44 states/eV/f.u. As for the formation energy: -0.568 eV/atom. As for the magnetic moment: 0.0 μB/cell. The total DFT energy (no corrections) is -7.17 eV/atom.

POSCAR file:
```
NdZrAs2Rh5
1.0
-1.1464 2.1436 -3.2852
3.1128 -1.5856 -2.1208
-6.3549 -8.2456 -3.1628
As Rh Nd Zr
2 5 1 1
Cartesian
-3.5842 -5.6473 -4.9762 As
-0.8043 -2.0403 -3.5926 As
-5.8636 -5.7926 -4.2756 Rh
-3.7340 -7.6571 -3.6934 Rh
0.4919 -2.1741 -1.5902 Rh
-2.1942 -3.8438 -4.2844 Rh
-1.6377 -0.3095 -2.1724 Rh
-3.1775 -4.1228 -1.5814 Nd
0.0000 0.0000 0.0000 Zr
```

***

This record from Alexandria describes an optimized crystal structure of TiAl3Se. The functional is GGA-PBE.

## Properties
The calculation puts the uncorrected formation energy at 0.89 eV/atom. As for the crystal system: cubic. The value obtained for the volume is 26.663 A^3/atom. Its symmetry is Pm-3m. Its energy above the most stable polymorph in this dataset is 0.088 eV/atom. For the density of states at the Fermi level, the calculation gives 6.24 states/eV/f.u. As for the magnetic moment: 2.6 μB/cell. The total DFT energy (no corrections) is -3.63 eV/atom.

POSCAR file:
```
TiAl3Se
1.0
5.1085 0.0000 0.0000
0.0000 5.1085 0.0000
0.0000 0.0000 5.1085
Al Se Ti
3 1 1
Cartesian
0.0000 0.0000 2.5542 Al
2.5542 0.0000 0.0000 Al
0.0000 2.5542 0.0000 Al
2.5542 2.5542 2.5542 Se
0.0000 0.0000 0.0000 Ti
```

***

This record from Alexandria describes an optimized crystal structure of Cs2MgGe2S6. The functional is GGA-PBE.

## Properties
The calculation puts the uncorrected formation energy at -0.73 eV/atom. As for the crystal system: trigonal. The value obtained for the volume is 31.209 A^3/atom. Its symmetry is R-3m. As for the magnetic moment: 0.0 μB/cell. The total DFT energy (no corrections) is -4.12 eV/atom.

POSCAR file:
```
Cs2MgGe2S6
1.0
7.1220 0.0000 0.0000
3.5610 6.1678 0.0000
3.5610 2.0559 7.8151
S Mg Cs Ge
6 1 2 2
Cartesian
7.1220 6.2440 6.0330 S
5.2755 5.1779 1.7821 S
8.9685 5.1779 1.7821 S
5.2755 3.0458 6.0330 S
7.1220 1.9797 1.7821 S
8.9685 3.0458 6.0330 S
0.0000 0.0000 0.0000 Mg
10.6830 6.1678 5.0894 Cs
3.5610 2.0559 2.7257 Cs
7.1220 4.1119 1.5722 Ge
7.1220 4.1119 6.2429 Ge
```

***

This record from Alexandria describes an optimized crystal structure of TlCuW. The functional is GGA-PBE.

## Properties
As for the crystal system: monoclinic. The value obtained for the volume is 18.028 A^3/atom. Its symmetry is Cm. Its energy above the most stable polymorph in this dataset is 0.000 eV/atom. For the density of states at the Fermi level, the calculation gives 1.66 states/eV/f.u. As for the formation energy: 0.738 eV/atom. As for the magnetic moment: 0.0 μB/cell. The total DFT energy (no corrections) is -5.73 eV/atom.

POSCAR file:
```
TlCuW
1.0
-5.1068 -4.4544 -1.0686
-3.5571 -4.4467 -4.7715
5.7277 3.1457 3.5344
Tl Cu W
1 1 1
Cartesian
-0.1615 -2.5875 -0.7689 Tl
-3.3207 -4.4933 -4.3078 Cu
-3.0111 -3.1214 -2.0005 W
```

***

This record from Alexandria describes an optimized crystal structure of BaTc2Pt. The functional is GGA-PBE.

## Properties
As for the crystal system: orthorhombic. The value obtained for the volume is 22.487 A^3/atom. Its symmetry is Imm2. Its energy above the most stable polymorph in this dataset is 0.458 eV/atom. For the density of states at the Fermi level, the calculation gives 2.70 states/eV/f.u. As for the formation energy: 0.653 eV/atom. As for the magnetic moment: 0.0 μB/cell. The total DFT energy (no corrections) is -6.52 eV/atom.

POSCAR file:
```
BaTc2Pt
1.0
-0.0223 4.5868 -3.5669
-0.3632 -1.6371 -5.5633
-2.5808 0.1404 5.2040
Tc Pt Ba
2 1 1
Cartesian
-0.3806 2.9123 -9.0144 Tc
-1.4227 3.2913 -2.0530 Tc
-1.5488 -0.1608 -1.9984 Pt
-0.1923 1.4718 -4.5557 Ba
```

***

This record from Alexandria describes an optimized crystal structure of NpGaSi2. The functional is GGA-PBE.

## Properties
The calculation puts the uncorrected formation energy at 0.73 eV/atom. As for the crystal system: trigonal. The value obtained for the volume is 29.821 A^3/atom. Its symmetry is R-3m. Its energy above the most stable polymorph in this dataset is 0.944 eV/atom. For the density of states at the Fermi level, the calculation gives 10.26 states/eV/f.u. As for the magnetic moment: 3.8 μB/cell. The total DFT energy (no corrections) is -5.97 eV/atom.

POSCAR file:
```
NpGaSi2
1.0
4.6587 0.0000 0.0000
2.3294 4.0346 0.0000
2.3294 1.3449 6.3462
Ga Si Np
1 2 1
Cartesian
0.0000 0.0000 0.0000 Ga
6.9881 4.0346 2.3384 Si
2.3294 1.3449 4.0078 Si
4.6587 2.6897 3.1731 Np
```

***

This record from Alexandria describes an optimized crystal structure of Rb3CeU2S9. The functional is GGA-PBE.

## Properties
The calculation puts the uncorrected formation energy at -1.40 eV/atom. As for the crystal system: trigonal. The value obtained for the volume is 28.966 A^3/atom. Its symmetry is P-3m1. For the density of states at the Fermi level, the calculation gives 8.75 states/eV/f.u. As for the magnetic moment: 1.2 μB/cell. The total DFT energy (no corrections) is -5.97 eV/atom.

POSCAR file:
```
Rb3CeU2S9
1.0
7.4236 0.0000 0.0000
-3.7118 6.4291 0.0000
0.0000 0.0000 9.1037
Rb S U Ce
3 9 2 1
Cartesian
3.7118 2.1430 3.0544 Rb
0.0000 0.0000 0.0000 Rb
0.0000 4.2860 6.0493 Rb
-1.8559 3.2145 0.0000 S
3.7118 0.0000 0.0000 S
1.8559 3.2145 0.0000 S
-1.8036 5.3273 2.9635 S
5.5154 1.1017 6.1402 S
3.7118 4.2256 6.1402 S
1.9083 1.1017 6.1402 S
1.8036 5.3273 2.9635 S
0.0000 2.2035 2.9635 S
3.7118 2.1430 7.6040 U
0.0000 4.2860 1.4998 U
0.0000 0.0000 4.5519 Ce
```

***

This record from Alexandria describes an optimized crystal structure of Ca2Hg2H4Rh. The functional is GGA-PBE.

## Properties
As for the crystal system: tetragonal. The value obtained for the volume is 15.787 A^3/atom. Its symmetry is I4/mmm. For the density of states at the Fermi level, the calculation gives 2.72 states/eV/f.u. As for the magnetic moment: 0.0 μB/cell. The total DFT energy (no corrections) is -3.05 eV/atom.

POSCAR file:
```
Ca2Hg2H4Rh
1.0
-1.8199 3.6139 -4.1807
-2.0443 -5.4468 0.0563
-1.7306 0.9727 5.4689
Rh Ca Hg H
1 2 2 4
Cartesian
0.0000 0.0000 0.0000 Rh
-2.7190 1.1748 2.0254 Ca
-2.8759 -2.0350 -0.6809 Ca
-2.5116 -2.9767 3.6761 Hg
-1.2634 -1.4974 1.8492 Hg
-4.0805 -1.4227 1.9238 H
-1.7947 -0.3384 4.3634 H
-1.9802 -4.1357 1.1618 H
-1.5144 0.5624 -0.5793 H
```